No. 1
First-principles (PBE-GGA) data for AgHgI6 after structural relaxation, as listed in OQMD via LeMat-Bulk.

Computed properties:
As for the total energy: -1.247 eV/atom. Its calculated density is 5.141 g cm⁻³.

abc: 11.140 11.140 11.140
angles: 90.00 90.00 90.00
Space group F-43m (No. 216)
Inequivalent atoms, fractional coordinates:
Ag (0.000, 0.000, 0.000) [4 per cell]
Hg (0.250, 0.250, 0.750) [4 per cell]
I (0.009, 0.250, 0.250) [24 per cell]

No. 2
First-principles (PBE-GGA) data for IrF6 after structural relaxation, as listed in OQMD via LeMat-Bulk.

Computed properties:
The total magnetic moment is 2.0 μB/cell. As for the total energy: -3.725 eV/atom. Its calculated density is 7.813 g cm⁻³.

abc: 8.251 3.540 4.473
angles: 90.00 94.95 90.00
Space group C2/m (No. 12)
Inequivalent atoms, fractional coordinates:
Ir (0.000, 0.000, 0.000) [2 per cell]
F (0.046, 0.500, 0.235) [4 per cell]
F (0.121, 0.000, 0.660) [4 per cell]
F (0.216, 0.000, 0.179) [4 per cell]

No. 3
First-principles (PBE-GGA) data for SrPuAg after structural relaxation, as listed in OQMD via LeMat-Bulk.

Computed properties:
The total magnetic moment is 26.9 μB/cell. As for the relative energy among the computed polymorphs: 0.000 eV/f.u. Its calculated density is 6.997 g cm⁻³.

abc: 7.472 7.472 7.472
angles: 90.00 90.00 90.00
Space group F-43m (No. 216)
Inequivalent atoms, fractional coordinates:
Sr (0.000, 0.000, 0.000) [4 per cell]
Pu (0.000, 0.000, 0.500) [4 per cell]
Ag (0.250, 0.250, 0.750) [4 per cell]

No. 4
First-principles (PBE-GGA) data for Ac after structural relaxation, as listed in OQMD via LeMat-Bulk.

Computed properties:
The total magnetic moment is 0.1 μB/cell. As for the relative energy among the computed polymorphs: 0.134 eV/f.u. Its calculated density is 8.388 g cm⁻³.

abc: 9.650 9.650 9.650
angles: 90.00 90.00 90.00
Space group P4_132 (No. 213)
Inequivalent atoms, fractional coordinates:
Ac (0.046, 0.125, 0.796) [12 per cell]
Ac (0.062, 0.938, 0.438) [8 per cell]

No. 5
First-principles (PBE-GGA) data for LaBeSbOs after structural relaxation, as listed in OQMD via LeMat-Bulk.

Computed properties:
The total magnetic moment is 0.0 μB/cell. As for the relative energy among the computed polymorphs: 0.000 eV/f.u. Its calculated density is 9.885 g cm⁻³.

abc: 6.761 6.761 6.761
angles: 90.00 90.00 90.00
Space group F-43m (No. 216)
Inequivalent atoms, fractional coordinates:
La (0.000, 0.000, 0.000) [4 per cell]
Be (0.250, 0.250, 0.750) [4 per cell]
Sb (0.250, 0.250, 0.250) [4 per cell]
Os (0.000, 0.000, 0.500) [4 per cell]

No. 6
First-principles (PBE-GGA) data for K4TcO5 after structural relaxation, as listed in OQMD via LeMat-Bulk.

Computed properties:
The total magnetic moment is 2.0 μB/cell. As for the total energy: -5.485 eV/atom. Its calculated density is 3.215 g cm⁻³.

abc: 7.909 7.909 5.523
angles: 90.00 90.00 90.00
Space group I4 (No. 79)
Inequivalent atoms, fractional coordinates:
K (0.096, 0.302, 0.000) [8 per cell]
Tc (0.000, 0.000, 0.445) [2 per cell]
O (0.000, 0.000, 0.125) [2 per cell]
O (0.074, 0.223, 0.532) [8 per cell]

No. 7
First-principles (PBE-GGA) data for Pr2SiAg after structural relaxation, as listed in OQMD via LeMat-Bulk.

Computed properties:
The total magnetic moment is 0.6 μB/cell. As for the total energy: -4.893 eV/atom. Its calculated density is 6.555 g cm⁻³.

abc: 4.455 6.030 7.880
angles: 90.00 90.00 90.00
Space group Pmc2_1 (No. 26)
Inequivalent atoms, fractional coordinates:
Pr (0.000, 0.108, 0.000) [2 per cell]
Pr (0.500, 0.367, 0.358) [2 per cell]
Si (0.500, 0.118, 0.719) [2 per cell]
Ag (0.000, 0.381, 0.648) [2 per cell]

No. 8
First-principles (PBE-GGA) data for CdAgPd after structural relaxation, as listed in OQMD via LeMat-Bulk.

Computed properties:
As for the relative energy among the computed polymorphs: 0.000 eV/f.u. Its calculated density is 8.570 g cm⁻³.

abc: 6.326 6.326 6.326
angles: 90.00 90.00 90.00
Space group F-43m (No. 216)
Inequivalent atoms, fractional coordinates:
Cd (0.000, 0.000, 0.000) [4 per cell]
Ag (0.000, 0.000, 0.500) [4 per cell]
Pd (0.250, 0.250, 0.750) [4 per cell]